VASP calculation (PBE-GGA) on a geometry-optimized CrNiSb2I structure.

Cell: 4.917 4.917 5.242 Å, 90.00 90.00 90.00°
Each line ends with the local moment (μB).
Fractional coordinates of all 5 atoms:
Ni: 0.000 0.000 0.000  0.04
Cr: 0.500 0.500 0.500  0.27
I: 0.000 0.000 0.500  -0.01
Sb: 0.000 0.500 0.000  0.00
Sb: 0.500 0.000 0.000  0.00

Properties
* E: -19.7 eV for the cell shown
* energy relative to the lowest polymorph listed for this composition: 200 meV/atom